The following is a GGA-PBE calculation of a relaxed Pm2Pr3Er5 crystal, from Alexandria.

Total energy ... -4.4858 eV per atom
ΔH_f (0 K) ... 0.18 eV per atom
Magnetic moment ... 0.0 μB per formula unit

Cell: 9.758 9.758 9.346 Å, 108.12 108.12 113.81°
Element x y z (fractional)
1 Pm 0.029 0.267 0.045
2 Pm 0.267 0.029 0.545
3 Pm 0.733 0.971 0.455
4 Pm 0.971 0.733 0.955
5 Pr 0.228 0.476 0.452
6 Pr 0.267 0.733 0.250
7 Pr 0.476 0.228 0.952
8 Pr 0.524 0.772 0.048
9 Pr 0.733 0.267 0.750
10 Pr 0.772 0.524 0.548
11 Er 0.028 0.972 0.750
12 Er 0.133 0.361 0.741
13 Er 0.227 0.773 0.750
14 Er 0.361 0.133 0.241
15 Er 0.474 0.526 0.250
16 Er 0.526 0.474 0.750
17 Er 0.639 0.867 0.759
18 Er 0.773 0.227 0.250
19 Er 0.867 0.639 0.259
20 Er 0.972 0.028 0.250



The following is a GGA-PBE calculation of a relaxed PmPr6Er4 crystal, from Alexandria.

E above lowest polymorph ... 0.0 kJ/mol of formula units
Total energy ... -4.5519 eV per atom
ΔH_f (0 K) ... 0.15 eV per atom
Magnetic moment ... 0.0 μB per formula unit

Cell: 11.140 11.140 3.597 Å, 90.00 90.00 120.00°
Element x y z (fractional)
1 Pm 0.000 0.000 0.000
2 Pr 0.182 0.365 0.500
3 Pr 0.182 0.818 0.500
4 Pr 0.526 0.051 0.000
5 Pr 0.526 0.474 0.000
6 Pr 0.635 0.818 0.500
7 Pr 0.949 0.474 0.000
8 Er 0.320 0.160 0.500
9 Er 0.333 0.667 0.000
10 Er 0.840 0.160 0.500
11 Er 0.840 0.680 0.500